Record 1
Compound: LiPuPaOs
Source: the Alexandria database
Functional: PBE-GGA
Structure: relaxed

```
4
Lattice="0.000 3.438 3.438 3.438 0.000 3.438 3.438 3.438 0.000" Properties=species:S:1:pos:R:3 pbc="T T T"
Li 0.000 0.000 0.000
Pu 5.156 5.156 5.156
Pa 1.719 1.719 1.719
Os 3.438 3.438 3.438
```

Computed properties:
Raw total energy: -36.865 eV/cell
Energy relative to the elements: 0.027 eV per atom

***

Record 2
Compound: Mg2AlPd2
Source: the Alexandria database
Functional: PBE-GGA
Structure: relaxed

```
5
Lattice="-2.036 2.797 3.879 2.036 -2.797 3.879 2.036 2.797 -3.879" Properties=species:S:1:pos:R:3 pbc="T T T"
Mg 0.000 0.000 1.504
Mg 0.000 0.000 6.253
Al 0.000 2.797 0.000
Pd 2.036 1.357 0.000
Pd 0.000 1.440 3.879
```

Computed properties:
Energy above the most stable polymorph in this dataset: 0.0 meV/atom
Raw total energy: -20.584 eV/cell
Energy relative to the elements: -0.653 eV per atom